1.
Here is a relaxed structure of HfNbTl2 from the Open Quantum Materials Database. Energies are from PBE.

a b c (Å): 5.021 5.021 5.021
angles (deg): 60.00 60.00 60.00
Sites, in units of the cell vectors:
Hf: 0.750 0.750 0.750
Nb: 0.000 0.000 0.000
Tl: 0.250 0.250 0.250
Tl: 0.500 0.500 0.500

- ρ: 12.62 g/cm3
- Total energy: -21.98 eV/cell
- Spin magnetization: 0.01 μB/f.u.


2.
Here is a relaxed structure of HfNbW from the Open Quantum Materials Database. Energies are from PBE.

a b c (Å): 4.500 4.500 4.500
angles (deg): 60.00 60.00 60.00
Sites, in units of the cell vectors:
Hf: 0.250 0.250 0.250
Nb: 0.750 0.750 0.750
W: 0.000 0.000 0.000

- ρ: 11.73 g/cm3
- Formation enthalpy at 0 K: 0.588 eV per atom
- Spin magnetization: 0.00 μB/f.u.


3.
Here is a relaxed structure of Y2HfNb from the Open Quantum Materials Database. Energies are from PBE.

a b c (Å): 5.172 5.172 5.172
angles (deg): 60.00 60.00 60.00
Sites, in units of the cell vectors:
Y: 0.250 0.250 0.250
Y: 0.500 0.500 0.500
Hf: 0.000 0.000 0.000
Nb: 0.750 0.750 0.750

- ρ: 7.62 g/cm3
- Formation enthalpy at 0 K: 0.346 eV per atom
- Spin magnetization: 0.01 μB/f.u.


4.
Here is a relaxed structure of YHf2Nb from the Open Quantum Materials Database. Energies are from PBE.

a b c (Å): 5.042 5.042 5.042
angles (deg): 60.00 60.00 60.00
Sites, in units of the cell vectors:
Hf: 0.000 0.000 0.000
Hf: 0.750 0.750 0.750
Nb: 0.500 0.500 0.500
Y: 0.250 0.250 0.250

- ρ: 9.87 g/cm3
- Formation enthalpy at 0 K: 0.338 eV per atom
- Spin magnetization: 0.31 μB/f.u.


5.
Here is a relaxed structure of HfNb2Zn from the Open Quantum Materials Database. Energies are from PBE.

a b c (Å): 4.682 4.682 4.682
angles (deg): 60.00 60.00 60.00
Sites, in units of the cell vectors:
Nb: 0.000 0.000 0.000
Nb: 0.750 0.750 0.750
Hf: 0.250 0.250 0.250
Zn: 0.500 0.500 0.500

- ρ: 9.83 g/cm3
- Formation enthalpy at 0 K: 0.035 eV per atom
- Spin magnetization: 0.02 μB/f.u.


6.
Here is a relaxed structure of Hf2ZrNb from the Open Quantum Materials Database. Energies are from PBE.

a b c (Å): 4.924 4.924 4.924
angles (deg): 60.00 60.00 60.00
Sites, in units of the cell vectors:
Nb: 0.500 0.500 0.500
Hf: 0.000 0.000 0.000
Hf: 0.250 0.250 0.250
Zr: 0.750 0.750 0.750

- ρ: 10.64 g/cm3
- Formation enthalpy at 0 K: 0.139 eV per atom
- Spin magnetization: 0.01 μB/f.u.